Record 1
First-principles (PBE) data for a relaxed structure of BeFe2HRu, as listed in the Alexandria database.

Cell lengths 3.5721, 3.5721, 3.8499 Å; angles 90.00, 90.00, 90.00 degrees
Element x y z (fractional)
Be (0.5000, 0.5000, 0.5000)
Fe (0.5000, 0.0000, 0.0000)
H (0.0000, 0.0000, 0.0000)
Fe (0.0000, 0.5000, 0.0000)
Ru (0.0000, 0.0000, 0.5000)

Calculated values
uncorrected energy: -33.11 eV/f.u.
magnetization: 5.4 μB per formula unit

***

Record 2
First-principles (PBE) data for a relaxed structure of V2Ir2Pb, as listed in the Alexandria database.

Cell lengths 4.1534, 4.1534, 6.0471 Å; angles 69.91, 69.91, 90.00 degrees
Element x y z (fractional)
Ir (0.6256, 0.6256, 0.7489)
Pb (0.0000, 0.0000, 0.0000)
V (0.7500, 0.2500, 0.5000)
Ir (0.3744, 0.3744, 0.2511)
V (0.2500, 0.7500, 0.5000)

Calculated values
formation energy from the elements: -0.081 eV/atom
uncorrected energy: -40.07 eV/f.u.
magnetization: 0.6 μB per formula unit

***

Record 3
First-principles (PBE) data for a relaxed structure of Mg3ScGe, as listed in the Alexandria database.

Cell lengths 5.4873, 5.4873, 5.4873 Å; angles 90.00, 90.00, 90.00 degrees
Element x y z (fractional)
Ge (0.5000, 0.5000, 0.5000)
Mg (0.0000, 0.0000, 0.5000)
Mg (0.5000, 0.0000, 0.0000)
Sc (0.0000, 0.0000, 0.0000)
Mg (0.0000, 0.5000, 0.0000)

Calculated values
formation energy from the elements: 1.096 eV/atom
uncorrected energy: -10.25 eV/f.u.
magnetization: 0.0 μB per formula unit

***

Record 4
First-principles (PBE) data for a relaxed structure of CaTmTh, as listed in the Alexandria database.

Cell lengths 3.5704, 3.5704, 8.4257 Å; angles 102.23, 102.23, 90.00 degrees
Element x y z (fractional)
Th (0.3228, 0.3228, 0.6457)
Tm (0.6771, 0.6771, 0.3542)
Ca (0.0001, 0.0001, 0.0002)

Calculated values
formation energy from the elements: 0.108 eV/atom
uncorrected energy: -13.57 eV/f.u.
magnetization: 0.0 μB per formula unit